1.
DFT (PBE) results for a geometry-optimized CrBiSe2 structure.

Computed properties:
V, Å³/cell: 351
Formation energy (no corrections), eV per atom: -0.118

Cell lengths 5.8645, 11.9550, 5.7138 Å; angles 90.00, 118.95, 90.00 degrees
Space group C2/c (No. 15)
Inequivalent atoms, fractional coordinates:
Cr: 0.0000 0.2422 0.2500 x4
Bi: 0.0000 0.3482 0.7500 x4
Se: 0.1867 0.1070 0.5994 x8



2.
DFT (PBE) results for a geometry-optimized CrBiSe2 structure.

Computed properties:
V, Å³/cell: 187
Formation energy (no corrections), eV per atom: -0.301

Cell lengths 6.4469, 3.6000, 8.4138 Å; angles 90.00, 106.28, 90.00 degrees
Space group C2/m (No. 12)
Inequivalent atoms, fractional coordinates:
Cr: 0.0000 0.0000 0.0000 x2
Bi: 0.0000 0.0000 0.5000 x2
Se: 0.1110 0.5000 0.8262 x4



3.
DFT (PBE) results for a geometry-optimized CrBiSe2 structure.

Computed properties:
V, Å³/cell: 409
Formation energy (no corrections), eV per atom: -0.223

Cell lengths 13.7405, 3.4983, 8.6211 Å; angles 90.00, 99.26, 90.00 degrees
Space group C2/m (No. 12)
Inequivalent atoms, fractional coordinates:
Cr: 0.2261 0.0000 0.3866 x4
Bi: 0.0643 0.5000 0.2473 x4
Se: 0.1541 0.0000 0.6199 x4
Se: 0.1763 0.0000 0.0998 x4



4.
DFT (PBE) results for a geometry-optimized CrBiSe2 structure.

Computed properties:
V, Å³/cell: 388
Formation energy (no corrections), eV per atom: -0.281

Cell lengths 6.3951, 3.6107, 16.8208 Å; angles 90.00, 90.00, 90.00 degrees
Space group Pnma (No. 62)
Inequivalent atoms, fractional coordinates:
Cr: 0.1006 0.2500 0.0846 x4
Bi: 0.0306 0.2500 0.6550 x4
Se: 0.0468 0.2500 0.8259 x4
Se: 0.2383 0.7500 0.9938 x4



5.
DFT (PBE) results for a geometry-optimized CrBiSe structure.

Computed properties:
V, Å³/cell: 144
Formation energy (no corrections), eV per atom: -0.119

Cell lengths 5.0679, 4.0471, 7.4436 Å; angles 90.00, 109.47, 90.00 degrees
Space group P2_1/m (No. 11)
Inequivalent atoms, fractional coordinates:
Cr: 0.1773 0.2500 0.3462 x2
Bi: 0.2444 0.7500 0.0604 x2
Se: 0.2820 0.7500 0.5714 x2



6.
DFT (PBE) results for a geometry-optimized CrBi3Se structure.

Computed properties:
V, Å³/cell: 136
Formation energy (no corrections), eV per atom: 0.365

Cell lengths 5.1365, 5.1365, 5.1365 Å; angles 90.00, 90.00, 90.00 degrees
Space group Pm-3m (No. 221)
Inequivalent atoms, fractional coordinates:
Cr: 0.0000 0.0000 0.0000 x1
Bi: 0.0000 0.0000 0.5000 x3
Se: 0.5000 0.5000 0.5000 x1



7.
DFT (PBE) results for a geometry-optimized CrBi3Se structure.

Computed properties:
V, Å³/cell: 172
Formation energy (no corrections), eV per atom: 0.842

Cell lengths 5.5593, 5.5593, 5.5593 Å; angles 90.00, 90.00, 90.00 degrees
Space group Pm-3m (No. 221)
Inequivalent atoms, fractional coordinates:
Cr: 0.0000 0.0000 0.0000 x1
Bi: 0.0000 0.5000 0.5000 x3
Se: 0.5000 0.5000 0.5000 x1



8.
DFT (PBE) results for a geometry-optimized CrBiSe2 structure.

Computed properties:
V, Å³/cell: 453
Formation energy (no corrections), eV per atom: -0.210

Cell lengths 9.3969, 3.9961, 12.0683 Å; angles 90.00, 90.00, 90.00 degrees
Space group Pnma (No. 62)
Inequivalent atoms, fractional coordinates:
Cr: 0.0323 0.2500 0.0497 x4
Bi: 0.1636 0.2500 0.8331 x4
Se: 0.0124 0.2500 0.2560 x4
Se: 0.2015 0.7500 0.0376 x4



9.
DFT (PBE) results for a geometry-optimized CrBiSe2 structure.

Computed properties:
V, Å³/cell: 221
Formation energy (no corrections), eV per atom: -0.154

Cell lengths 4.2268, 6.7558, 7.8084 Å; angles 93.96, 90.09, 95.93 degrees
Space group P1 (No. 1)
Inequivalent atoms, fractional coordinates:
Cr: 0.0000 0.0000 0.0000 x1
Cr: 0.3650 0.1372 0.9033 x1
Bi: 0.1851 0.5707 0.9535 x1
Bi: 0.6816 0.0709 0.4524 x1
Se: 0.1471 0.8426 0.2611 x1
Se: 0.2159 0.2985 0.6450 x1
Se: 0.6243 0.8608 0.7730 x1
Se: 0.7426 0.2774 0.1296 x1



10.
DFT (PBE) results for a geometry-optimized CrBiSe2 structure.

Computed properties:
V, Å³/cell: 396
Formation energy (no corrections), eV per atom: -0.189

Cell lengths 6.7979, 11.5502, 5.5856 Å; angles 90.00, 115.34, 90.00 degrees
Space group Cc (No. 9)
Inequivalent atoms, fractional coordinates:
Cr: 0.0000 0.0076 0.0000 x4
Bi: 0.1292 0.4105 0.5836 x4
Se: 0.2650 0.0896 0.3985 x4
Se: 0.4110 0.3364 0.1883 x4



11.
DFT (PBE) results for a geometry-optimized CrBiSe2 structure.

Computed properties:
V, Å³/cell: 433
Formation energy (no corrections), eV per atom: -0.225

Cell lengths 9.1390, 13.7431, 3.4480 Å; angles 90.00, 90.00, 90.00 degrees
Space group Cmmm (No. 65)
Inequivalent atoms, fractional coordinates:
Cr: 0.1048 0.0000 0.0000 x4
Bi: 0.0000 0.2821 0.5000 x4
Se: 0.1877 0.1184 0.5000 x8



12.
DFT (PBE) results for a geometry-optimized Cr5Bi3Se12 structure.

Computed properties:
V, Å³/cell: 4003
Formation energy (no corrections), eV per atom: -0.310

Cell lengths 15.8775, 15.8775, 15.8775 Å; angles 90.00, 90.00, 90.00 degrees
Space group Ia-3d (No. 230)
Inequivalent atoms, fractional coordinates:
Cr: 0.0000 0.0000 0.0000 x16
Cr: 0.0000 0.2500 0.3750 x24
Bi: 0.0000 0.2500 0.1250 x24
Se: 0.0289 0.0546 0.6489 x96



13.
DFT (PBE) results for a geometry-optimized CrBiSe2 structure.

Computed properties:
V, Å³/cell: 452
Formation energy (no corrections), eV per atom: -0.004

Cell lengths 8.8978, 8.8978, 5.7102 Å; angles 90.00, 90.00, 90.00 degrees
Space group I4/mcm (No. 140)
Inequivalent atoms, fractional coordinates:
Cr: 0.0000 0.5000 0.2500 x4
Bi: 0.0000 0.0000 0.2500 x4
Se: 0.1441 0.3559 0.0000 x8



14.
DFT (PBE) results for a geometry-optimized CrBiSe2 structure.

Computed properties:
V, Å³/cell: 414
Formation energy (no corrections), eV per atom: -0.060

Cell lengths 3.9299, 21.0024, 5.0150 Å; angles 90.00, 90.00, 90.00 degrees
Space group Cmcm (No. 63)
Inequivalent atoms, fractional coordinates:
Cr: 0.0000 0.0618 0.2500 x4
Bi: 0.0000 0.3259 0.2500 x4
Se: 0.0000 0.0593 0.7500 x4
Se: 0.0000 0.1845 0.2500 x4



15.
DFT (PBE) results for a geometry-optimized CrBiSe2 structure.

Computed properties:
V, Å³/cell: 410
Formation energy (no corrections), eV per atom: -0.284

Cell lengths 19.6679, 3.5517, 6.1697 Å; angles 90.00, 107.77, 90.00 degrees
Space group Cm (No. 8)
Inequivalent atoms, fractional coordinates:
Cr: 0.0000 0.0000 0.0000 x2
Cr: 0.1400 0.5000 0.0937 x2
Bi: 0.2861 0.0000 0.9576 x2
Bi: 0.4067 0.5000 0.2957 x2
Se: 0.0533 0.5000 0.2897 x2
Se: 0.0911 0.0000 0.8017 x2
Se: 0.2212 0.0000 0.3114 x2
Se: 0.4186 0.0000 0.7821 x2



16.
DFT (PBE) results for a geometry-optimized CrBiSe2 structure.

Computed properties:
V, Å³/cell: 446
Formation energy (no corrections), eV per atom: -0.232

Cell lengths 3.5015, 7.8953, 16.1320 Å; angles 90.00, 90.00, 90.00 degrees
Space group Amm2 (No. 38)
Inequivalent atoms, fractional coordinates:
Cr: 0.0000 0.0000 0.0000 x2
Cr: 0.0000 0.0000 0.1234 x2
Bi: 0.5000 0.0000 0.3157 x2
Bi: 0.5000 0.0000 0.5559 x2
Se: 0.5000 0.2041 0.1717 x4
Se: 0.5000 0.2043 0.9509 x4



17.
DFT (PBE) results for a geometry-optimized Cr3BiSe structure.

Computed properties:
V, Å³/cell: 115
Formation energy (no corrections), eV per atom: 0.565

Cell lengths 4.8643, 4.8643, 4.8643 Å; angles 90.00, 90.00, 90.00 degrees
Space group Pm-3m (No. 221)
Inequivalent atoms, fractional coordinates:
Cr: 0.0000 0.0000 0.5000 x3
Bi: 0.5000 0.5000 0.5000 x1
Se: 0.0000 0.0000 0.0000 x1



18.
DFT (PBE) results for a geometry-optimized CrBiSe2 structure.

Computed properties:
V, Å³/cell: 92
Formation energy (no corrections), eV per atom: -0.244

Cell lengths 3.4234, 3.4234, 9.0365 Å; angles 90.00, 90.00, 120.00 degrees
Space group P-6m2 (No. 187)
Inequivalent atoms, fractional coordinates:
Cr: 0.0000 0.0000 0.0000 x1
Bi: 0.3333 0.6667 0.5000 x1
Se: 0.3333 0.6667 0.1632 x2



19.
DFT (PBE) results for a geometry-optimized CrBiSe2 structure.

Computed properties:
V, Å³/cell: 90
Formation energy (no corrections), eV per atom: 0.109

Cell lengths 5.0053, 5.0053, 3.5806 Å; angles 90.00, 90.00, 90.00 degrees
Space group P4/mmm (No. 123)
Inequivalent atoms, fractional coordinates:
Cr: 0.0000 0.0000 0.0000 x1
Bi: 0.5000 0.5000 0.0000 x1
Se: 0.0000 0.5000 0.5000 x2



20.
DFT (PBE) results for a geometry-optimized CrBiSe2 structure.

Computed properties:
V, Å³/cell: 434
Formation energy (no corrections), eV per atom: -0.194

Cell lengths 15.6553, 8.3526, 3.4008 Å; angles 90.00, 102.39, 90.00 degrees
Space group Cm (No. 8)
Inequivalent atoms, fractional coordinates:
Cr: 0.0000 0.1147 0.0000 x4
Bi: 0.0162 0.5000 0.5160 x2
Bi: 0.2499 0.5000 0.2532 x2
Se: 0.1100 0.2000 0.6089 x4
Se: 0.3923 0.2928 0.3936 x4